Record 1
Li2AcPt after structural relaxation, computed with GGA-PBE.

Lattice parameters (Å, degrees): 4.1852 5.7226 8.3583 90.00 90.00 111.47
Element x y z (fractional)
Ac 0.0482 0.0957 0.2500
Pt 0.7580 0.5167 0.2500
Pt 0.2420 0.4833 0.7500
Li 0.3230 0.6463 0.4409
Li 0.3230 0.6463 0.0591
Li 0.6770 0.3537 0.5591
Ac 0.9518 0.9043 0.7500
Li 0.6770 0.3537 0.9409

## Properties
* V: 186.3 Å³/cell
* space-group type: Cmcm
* energy relative to the elements: -550 meV/atom

=====

Record 2
Li3Ac2Pt4 after structural relaxation, computed with GGA-PBE.

Lattice parameters (Å, degrees): 5.7192 7.9647 8.3111 90.00 110.12 90.00
Element x y z (fractional)
Ac 0.6152 0.9173 0.2303
Li 0.0000 0.0000 0.0000
Li 0.0361 0.7500 0.5722
Pt 0.1841 0.9648 0.3682
Pt 0.3003 0.2500 0.1006
Li 0.5000 0.5000 0.0000
Ac 0.1152 0.5827 0.2303
Pt 0.8159 0.0352 0.6318
Pt 0.3159 0.4648 0.6318
Pt 0.6997 0.7500 0.8994
Ac 0.8848 0.4173 0.7697
Li 0.4639 0.2500 0.4278
Pt 0.8003 0.2500 0.1006
Ac 0.3848 0.0827 0.7697
Pt 0.6841 0.5352 0.3682
Li 0.9639 0.2500 0.4278
Li 0.5361 0.7500 0.5722
Pt 0.1997 0.7500 0.8994

## Properties
* V: 355.5 Å³/cell
* space-group type: Cmce
* energy relative to the elements: -808 meV/atom

=====

Record 3
LiAcPt2 after structural relaxation, computed with GGA-PBE.

Lattice parameters (Å, degrees): 4.9913 4.9913 4.9913 60.00 60.00 60.00
Element x y z (fractional)
Ac 0.0000 0.0000 0.0000
Pt 0.7500 0.7500 0.7500
Li 0.5000 0.5000 0.5000
Pt 0.2500 0.2500 0.2500

## Properties
* V: 87.9 Å³/cell
* space-group type: Fm-3m
* energy relative to the elements: -727 meV/atom

=====

Question: Which value of energy relative to the elements does entry 2 give?
Answer: -808 meV/atom

=====

Question: Look up the energy relative to the elements of the second one.
Answer: -808 meV/atom

=====

Question: energy relative to the elements of number 2 (Li3Ac2Pt4)?
Answer: -808 meV/atom

=====

Question: Which value of energy relative to the elements does entry 3 give?
Answer: -727 meV/atom